Version w
{"formula": "Li2AlCu2", "functional": "PBE", "state": "relaxed", "lattice": [[-1.646, -1.165, -2.668], [0.653, -3.134, 0.966], [-5.924, -2.237, 2.536]], "species": ["Li", "Li", "Cu", "Cu", "Al"], "frac_coords": [[0.750, 0.250, 0.500], [0.250, 0.750, 0.500], [0.594, 0.594, 0.812], [0.406, 0.406, 0.188], [0.000, 0.000, 0.000]], "sg": "I4/mmm (139)"}


Version x
{"formula": "Li2AlCu2", "functional": "PBE", "state": "relaxed", "lattice": [[-4.991, -2.806, -3.882], [1.720, -6.282, 2.331], [-1.762, 0.282, 2.062]], "species": ["Li", "Li", "Li", "Li", "Cu", "Cu", "Cu", "Cu", "Al", "Al"], "frac_coords": [[0.122, 0.378, 0.000], [0.878, 0.622, 0.000], [0.378, 0.878, 0.000], [0.622, 0.122, 0.000], [0.823, 0.323, 0.500], [0.177, 0.677, 0.500], [0.323, 0.177, 0.500], [0.677, 0.823, 0.500], [0.000, 0.000, 0.000], [0.500, 0.500, 0.000]], "sg": "P4/mbm (127)"}


Version y
{"formula": "Li2AlCu2", "functional": "PBE", "state": "relaxed", "lattice": [[4.245, 0.000, 0.000], [-2.123, 4.600, 0.029], [0.000, -2.077, 6.770]], "species": ["Al", "Al", "Li", "Li", "Li", "Li", "Cu", "Cu", "Cu", "Cu"], "frac_coords": [[0.251, 0.000, 0.750], [0.749, 0.000, 0.250], [0.444, 0.386, 0.149], [0.942, 0.386, 0.649], [0.556, 0.614, 0.851], [0.058, 0.614, 0.351], [0.848, 0.195, 0.948], [0.346, 0.195, 0.448], [0.152, 0.805, 0.052], [0.654, 0.805, 0.552]], "sg": "C2/c (15)"}


What should be chosen as the most stable of them? Choose version y.